MgBe2Sb | PBE-GGA | relaxed

Properties
The value obtained for the formation energy from raw total energies is 233 kJ/mol of formula units. For the polymorph energy (0 for the lowest one), the calculation gives 413 meV/atom.

Lattice parameters (Å, degrees): 7.3952 7.3952 5.4754 90.00 90.00 90.00
Space group I-42d (No. 122)
Symmetry-distinct sites (fractional):
Mg 0.0000 0.0000 0.0000 x4
Be 0.2058 0.2500 0.6250 x8
Sb 0.0000 0.0000 0.5000 x4


MgBeSb3 | PBE-GGA | relaxed

Properties
The value obtained for the formation energy from raw total energies is 518 kJ/mol of formula units. For the polymorph energy (0 for the lowest one), the calculation gives 680 meV/atom.

Lattice parameters (Å, degrees): 5.3339 5.3339 5.3339 90.00 90.00 90.00
Space group Pm-3m (No. 221)
Symmetry-distinct sites (fractional):
Mg 0.0000 0.0000 0.0000 x1
Be 0.5000 0.5000 0.5000 x1
Sb 0.0000 0.0000 0.5000 x3


Mg2BeSb | PBE-GGA | relaxed

Properties
The value obtained for the formation energy from raw total energies is 121 kJ/mol of formula units. For the polymorph energy (0 for the lowest one), the calculation gives 272 meV/atom.

Lattice parameters (Å, degrees): 4.4109 4.4109 18.2098 90.00 90.00 90.00
Space group I-42d (No. 122)
Symmetry-distinct sites (fractional):
Mg 0.2108 0.2500 0.1250 x8
Be 0.0000 0.0000 0.0000 x4
Sb 0.0000 0.0000 0.5000 x4


MgBe2Sb | PBE-GGA | relaxed

Properties
The value obtained for the formation energy from raw total energies is 74 kJ/mol of formula units. For the polymorph energy (0 for the lowest one), the calculation gives 0 meV/atom.

Lattice parameters (Å, degrees): 6.4881 3.7497 6.0889 90.00 111.26 90.00
Space group Cm (No. 8)
Symmetry-distinct sites (fractional):
Mg 0.0000 0.0000 0.0000 x2
Be 0.0663 0.5000 0.7037 x2
Be 0.2338 0.0000 0.7080 x2
Sb 0.3085 0.5000 0.4371 x2


MgBeSb | PBE-GGA | relaxed

Properties
The value obtained for the formation energy from raw total energies is 13 kJ/mol of formula units. For the polymorph energy (0 for the lowest one), the calculation gives 80 meV/atom.

Lattice parameters (Å, degrees): 7.0233 4.0665 4.9278 90.00 118.20 90.00
Space group Cm (No. 8)
Symmetry-distinct sites (fractional):
Mg 0.0000 0.0000 0.0000 x2
Be 0.2131 0.0000 0.6397 x2
Sb 0.4976 0.0000 0.4913 x2


MgBe2Sb | PBE-GGA | relaxed

Properties
The value obtained for the formation energy from raw total energies is 172 kJ/mol of formula units. For the polymorph energy (0 for the lowest one), the calculation gives 253 meV/atom.

Lattice parameters (Å, degrees): 3.8195 4.1656 4.0501 90.00 91.87 90.00
Space group P2/m (No. 10)
Symmetry-distinct sites (fractional):
Mg 0.0000 0.0000 0.0000 x1
Be 0.5000 0.0000 0.5000 x1
Be 0.5000 0.5000 0.0000 x1
Sb 0.0000 0.5000 0.5000 x1


| no. | M_tot (μB per cell) |
| --- | --- |
| 1 | 0.00 |
| 2 | 0.00 |
| 3 | 0.00 |
| 4 | 0.00 |
| 5 | 0.00 |
| 6 | 0.00 |